First-principles (PBE-GGA) data for a geometry-optimized La2CePd structure, as listed in Alexandria.

Lattice parameters (Å, degrees): 9.9756 9.9756 9.9756 22.46 22.46 22.46
Last column: nearest neighbours and their distance in Å.
Fractional coordinates of all 4 atoms:
La 0.0000 0.0000 0.0000  3 Pd 2.96
La 0.2005 0.2005 0.2005  3 Pd 2.96
Ce 0.4329 0.4329 0.4329  6 La 3.67-3.70, 6 Ce 3.89
Pd 0.6002 0.6002 0.6002  6 La 2.96

Calculated values
- DFT formation energy: -0.20 eV per atom
- Crystal system: trigonal
- Space-group type: No. 160


First-principles (PBE-GGA) data for a geometry-optimized AgAu structure, as listed in Alexandria.

Lattice parameters (Å, degrees): 5.7019 5.7019 7.1408 105.20 105.20 28.92
Last column: nearest neighbours and their distance in Å.
Fractional coordinates of all 6 atoms:
Ag 0.0000 0.0000 0.0000  5 Ag 2.85-2.95, 7 Au 2.95-2.97
Ag 0.0576 0.0576 0.6195  5 Ag 2.85-3.00, 7 Au 2.93-2.97
Ag 0.6674 0.6674 0.3334  6 Ag 2.85-3.00, 6 Au 2.93-2.99
Au 0.3313 0.3313 0.6664  5 Au 2.85-2.99, 7 Ag 2.94-2.97
Au 0.3954 0.3954 0.2868  5 Au 2.85-2.98, 7 Ag 2.93-2.99
Au 0.7242 0.7242 0.9533  6 Au 2.85-2.99, 6 Ag 2.95-2.97

Calculated values
- DFT formation energy: -0.02 eV per atom
- Crystal system: monoclinic
- Space-group type: No. 8


First-principles (PBE-GGA) data for a geometry-optimized BiAuS2Cl structure, as listed in Alexandria.

Lattice parameters (Å, degrees): 5.2410 5.2410 5.3005 90.00 90.00 90.00
Last column: nearest neighbours and their distance in Å.
Fractional coordinates of all 5 atoms:
Bi 0.0000 0.0000 0.0000  4 S 2.62, 2 Cl 2.65
Au 0.5000 0.5000 0.5000  4 Cl 3.71, 8 S 3.73
S 0.0000 0.5000 0.0000  2 Bi 2.62
S 0.5000 0.0000 0.0000  2 Bi 2.62
Cl 0.0000 0.0000 0.5000  2 Bi 2.65

Calculated values
- E_tot: -2.950 eV/atom
- Crystal system: tetragonal
- Space-group type: No. 123


First-principles (PBE-GGA) data for a geometry-optimized Tm4Si2C structure, as listed in Alexandria.

Lattice parameters (Å, degrees): 8.1073 8.1073 8.1073 147.08 147.08 47.24
Last column: nearest neighbours and their distance in Å.
Fractional coordinates of all 7 atoms:
Tm 0.0000 0.5000 0.5000  2 C 2.30
Tm 0.1679 0.1679 0.0000  1 C 2.49
Tm 0.5000 0.0000 0.5000  2 C 2.30
Tm 0.8321 0.8321 0.0000  1 C 2.49
Si 0.3638 0.3638 0.0000  5 Tm 2.91-3.06
Si 0.6362 0.6362 0.0000  5 Tm 2.91-3.06
C 0.0000 0.0000 0.0000  6 Tm 2.30-2.49

Calculated values
- E_tot: -5.994 eV/atom
- Crystal system: tetragonal
- Space-group type: No. 139


First-principles (PBE-GGA) data for a geometry-optimized SmHg6Au structure, as listed in Alexandria.

Lattice parameters (Å, degrees): 8.7980 8.7980 8.7980 40.84 40.84 40.84
Last column: nearest neighbours and their distance in Å.
Fractional coordinates of all 8 atoms:
Sm 0.0000 0.0000 0.0000  6 Hg 3.09
Hg 0.0672 0.0672 0.5555  5 Hg 3.00-3.14, 1 Sm 3.09
Hg 0.0672 0.5555 0.0672  5 Hg 3.00-3.14, 1 Sm 3.09
Hg 0.4445 0.9328 0.9328  5 Hg 3.00-3.14, 1 Sm 3.09
Hg 0.5555 0.0672 0.0672  5 Hg 3.00-3.14, 1 Sm 3.09
Hg 0.9328 0.4445 0.9328  5 Hg 3.00-3.14, 1 Sm 3.09
Hg 0.9328 0.9328 0.4445  5 Hg 3.00-3.14, 1 Sm 3.09
Au 0.5000 0.5000 0.5000  12 Hg 3.43

Calculated values
- DFT formation energy: 0.14 eV per atom
- Crystal system: trigonal
- Space-group type: No. 166


First-principles (PBE-GGA) data for a geometry-optimized Nd4PPdBr2 structure, as listed in Alexandria.

Lattice parameters (Å, degrees): 7.5251 4.0911 7.6137 90.00 107.25 90.00
Last column: nearest neighbours and their distance in Å.
Fractional coordinates of all 8 atoms:
Nd 0.2254 0.0000 0.2128  2 P 2.84, 1 Pd 2.98, 1 Br 3.14
Nd 0.2653 0.5000 0.7910  2 Pd 2.86, 1 P 2.90
Nd 0.7347 0.5000 0.2090  2 Pd 2.86, 1 P 2.90
Nd 0.7746 0.0000 0.7872  2 P 2.84, 1 Pd 2.98, 1 Br 3.14
P 0.0000 0.5000 0.0000  6 Nd 2.84-2.90
Pd 0.5000 0.0000 0.0000  6 Nd 2.86-2.98
Br 0.0000 0.0000 0.5000  6 Nd 3.14-3.23
Br 0.5000 0.5000 0.5000  6 Nd 3.22-3.25

Calculated values
- E_tot: -5.330 eV/atom
- Crystal system: monoclinic
- Space-group type: No. 10